Material: K2NaO2
Method: DFT, GGA-PBE
State: optimized geometry

Geometry as CIF:
```
data_K2NaO2
_symmetry_space_group_name_H-M 'P 4/m m m'
_symmetry_Int_Tables_number 123
_symmetry_space_group_name_Hall '-P 4 2'
_cell_length_a 4.5680
_cell_length_b 4.5680
_cell_length_c 13.5203
_cell_angle_alpha 90.00
_cell_angle_beta 90.00
_cell_angle_gamma 90.00
loop_
_atom_site_label
_atom_site_fract_x
_atom_site_fract_y
_atom_site_fract_z
K1 0.0000 0.0000 0.1685
Na1 0.0000 0.0000 0.5000
O1 0.0000 0.0000 0.3396
```

Calculated values
- formation energy (no corrections) (eV per atom) = -0.13
- calculated volume (Å³/cell) = 282.1
- calculated density (kg/m3) = 784